# 1
Computed, not measured: an optimized crystal structure of CaSc3Tc at the PBE-GGA level of DFT.

Summary:
ΔE_f = 0.3 kcal/mol of atoms
Relative energy among the computed polymorphs = 0.0000 eV/atom
Final energy = -6.26 eV/atom
SG = Pm-3m, No. 221

abc: 5.123 5.123 5.123
angles: 90.00 90.00 90.00
Fractional positions:
Tc (0.000, 0.000, 0.000)
Sc (0.000, 0.000, 0.500)
Sc (0.500, 0.000, 0.000)
Sc (0.000, 0.500, 0.000)
Ca (0.500, 0.500, 0.500)

---

# 2
Computed, not measured: an optimized crystal structure of PuTeCl at the PBE-GGA level of DFT.

Summary:
Final energy = -7.63 eV/atom
SG = P2_1/m, No. 11

abc: 5.138 5.188 7.598
angles: 90.00 110.51 90.00
Site moments in Bohr magnetons follow the coordinates.
Fractional positions:
Pu (0.250, 0.250, 0.500)  5.20
Pu (0.750, 0.750, 0.500)  5.20
Te (0.111, 0.750, 0.232)  -0.19
Te (0.889, 0.250, 0.768)  -0.19
Cl (0.356, 0.750, 0.704)  -0.09
Cl (0.644, 0.250, 0.296)  -0.09

---

# 3
Computed, not measured: an optimized crystal structure of Ce2SmDyN4 at the PBE-GGA level of DFT.

Summary:
Final energy = -8.36 eV/atom
SG = P2/m, No. 10

abc: 3.549 6.149 6.140
angles: 109.48 90.00 90.00
Site moments in Bohr magnetons follow the coordinates.
Fractional positions:
N (0.000, 0.243, 0.744)  -0.01
N (0.500, 0.246, 0.252)  -0.01
N (0.500, 0.754, 0.748)  -0.01
N (0.000, 0.757, 0.256)  -0.01
Sm (0.500, 0.500, 0.000)  0.01
Ce (0.500, 0.000, 0.500)  0.14
Ce (0.000, 0.500, 0.500)  0.23
Dy (0.000, 0.000, 0.000)  0.01

---

# 4
Computed, not measured: an optimized crystal structure of CrAgP2 at the PBE-GGA level of DFT.

Summary:
ΔE_f = 8.1 kcal/mol of atoms
Relative energy among the computed polymorphs = 0.3955 eV/atom
Final energy = -5.47 eV/atom
SG = Fm-3m, No. 225

abc: 4.397 4.397 4.397
angles: 60.00 60.00 60.00
Site moments in Bohr magnetons follow the coordinates.
Fractional positions:
Ag (0.500, 0.500, 0.500)  0.03
Cr (0.000, 0.000, 0.000)  2.64
P (0.250, 0.250, 0.250)  -0.08
P (0.750, 0.750, 0.750)  -0.08

---

# 5
Computed, not measured: an optimized crystal structure of Ca2Pm4Sm at the PBE-GGA level of DFT.

Summary:
ΔE_f = 2.8 kcal/mol of atoms
Relative energy among the computed polymorphs = 0.0000 eV/atom
Final energy = -3.84 eV/atom
SG = Immm, No. 71

abc: 3.577 5.934 12.404
angles: 103.85 98.29 90.00
Fractional positions:
Pm (0.920, 0.420, 0.840)
Pm (0.370, 0.869, 0.739)
Pm (0.630, 0.131, 0.261)
Pm (0.080, 0.580, 0.160)
Ca (0.721, 0.721, 0.442)
Ca (0.279, 0.279, 0.558)
Sm (0.000, 0.000, 0.000)

---

# 6
Computed, not measured: an optimized crystal structure of SiBPN4 at the PBE-GGA level of DFT.

Summary:
Relative energy among the computed polymorphs = 0.4631 eV/atom
Final energy = -7.62 eV/atom
SG = P1, No. 1

abc: 3.415 4.569 4.654
angles: 62.41 70.61 86.87
Fractional positions:
Si (0.087, 0.328, 0.091)
P (0.353, 0.026, 0.639)
B (0.343, 0.680, 0.308)
N (0.880, 0.129, 0.557)
N (0.322, 0.653, 0.638)
N (0.521, 0.412, 0.201)
N (0.188, 0.952, 0.058)

---

no.,density of states at the Fermi level (states/eV per cell)
1,2.69
2,15.62
3,4.58
4,1.74
5,11.12
6,0.00